The following is a DFT calculation (GGA-PBEsol) of a relaxed structure of CrHgRh2.

Cell: 3.960 3.960 4.667 Å, 115.10 115.10 90.00°
Element x y z (fractional)
Cr (0.500, 0.500, 0.000)
Hg (0.000, 0.000, 0.000)
Rh (0.750, 0.250, 0.500)
Rh (0.250, 0.750, 0.500)

Values from the calculation:
The total energy comes out at -6.61 eV per atom. As for the space-group type: I4/mmm. Its crystal system is tetragonal. The calculation puts the size of the total moment at 0.51 μB/atom. As for the formation energy: 0.16 eV/atom.